Cr2AgSe (PBE, optimized geometry); space-group type = P4mm (99); raw formation energy = 0.21 eV/atom; volume = 17.1 A^3/atom
1.0
-1.976 -2.495 0.711
2.098 -1.012 2.282
-3.014 3.636 4.384
Cr Se Ag
2 1 1
Direct
0.000 0.000 0.035
0.500 0.500 0.242
0.000 0.000 0.438
0.500 0.500 0.784

***

TaTi2Al (PBE, optimized geometry); space-group type = P4/mmm (123); volume = 16.8 A^3/atom; DFT formation energy = -0.2087 eV/atom
1.0
-2.374 2.732 1.462
-3.204 -1.702 -2.021
-0.777 -2.429 3.278
Ta Ti Al
1 2 1
Direct
0.500 0.000 0.000
0.000 0.000 0.500
0.000 0.500 0.000
0.500 0.500 0.500

***

Dy2GaP (PBE, optimized geometry); space-group type = R3m (160); volume = 24.7 A^3/atom; DFT formation energy = -0.9317 eV/atom
1.0
-2.875 -1.508 2.097
0.618 -3.161 2.136
1.256 2.829 7.318
Ga Dy P
1 2 1
Direct
0.500 0.500 0.501
0.262 0.262 0.215
0.071 0.071 0.787
0.668 0.668 0.997